A relaxed structure of LiTlTe2O6. Source: the Alexandria database, functional GGA-PBE.

Structure (POSCAR):
```
LiTlTe2O6
1.0
6.0744 -5.3653 0.0000
6.0744 5.3653 0.0000
-4.4117 0.0000 5.8776
Li Tl Te O
2 2 4 12
Direct
0.1790 0.8210 0.7500
0.8210 0.1790 0.2500
0.1432 0.8568 0.2500
0.8568 0.1432 0.7500
0.2491 0.3857 0.4236
0.3857 0.2491 0.9236
0.6143 0.7509 0.0764
0.7509 0.6143 0.5764
0.0560 0.1961 0.2266
0.1428 0.6060 0.4572
0.1961 0.0560 0.7266
0.3569 0.3725 0.7282
0.3725 0.3569 0.2282
0.3940 0.8572 0.0428
0.6060 0.1428 0.9572
0.6275 0.6431 0.7718
0.6431 0.6275 0.2718
0.8039 0.9440 0.2734
0.8572 0.3940 0.5428
0.9440 0.8039 0.7734
```

Values from the calculation:
The value obtained for the formation energy (no corrections) is -1.0215 eV per atom. The magnetic moment is 0.0 Bohr magnetons per cell. For the total energy, the calculation gives -5.053 eV per atom.